# Dy2HoRh3 PBE-GGA relaxed
data_Dy2HoRh3
_chemical_formula_sum 'Dy4 Ho2 Rh6'
_cell_length_a 4.840
_cell_length_b 4.840
_cell_length_c 11.822
_cell_angle_alpha 90.00
_cell_angle_beta 90.00
_cell_angle_gamma 120.00
_symmetry_space_group_name_H-M 'P 1'
_symmetry_Int_Tables_number 1
loop_
_symmetry_equiv_pos_as_xyz
'x,y,z'
loop_
_atom_site_label
_atom_site_type_symbol
_atom_site_fract_x
_atom_site_fract_y
_atom_site_fract_z
Rh1 Rh 0.333 0.667 0.916
Rh2 Rh 0.000 0.000 0.251
Rh3 Rh 0.667 0.333 0.084
Rh4 Rh 0.000 0.000 0.749
Rh5 Rh 0.667 0.333 0.583
Rh6 Rh 0.333 0.667 0.417
Dy1 Dy 0.000 0.000 0.500
Dy2 Dy 0.333 0.667 0.167
Dy3 Dy 0.667 0.333 0.833
Dy4 Dy 0.000 0.000 0.000
Ho1 Ho 0.333 0.667 0.666
Ho2 Ho 0.667 0.333 0.334
# Excess energy over the best structure of this formula in the dataset   0.000 eV per atom
# DOS at the Fermi energy   4.00 states/eV/f.u.

# DyHo3Rh PBE-GGA relaxed
data_DyHo3Rh
_chemical_formula_sum 'Dy2 Ho6 Rh2'
_cell_length_a 3.752
_cell_length_b 6.246
_cell_length_c 12.438
_cell_angle_alpha 86.65
_cell_angle_beta 81.32
_cell_angle_gamma 72.52
_symmetry_space_group_name_H-M 'P 1'
_symmetry_Int_Tables_number 1
loop_
_symmetry_equiv_pos_as_xyz
'x,y,z'
loop_
_atom_site_label
_atom_site_type_symbol
_atom_site_fract_x
_atom_site_fract_y
_atom_site_fract_z
Ho1 Ho 0.768 0.710 0.755
Ho2 Ho 0.098 0.174 0.629
Ho3 Ho 0.430 0.623 0.517
Ho4 Ho 0.990 0.111 0.908
Ho5 Ho 0.444 0.958 0.153
Ho6 Ho 0.782 0.043 0.392
Dy1 Dy 0.222 0.557 0.999
Dy2 Dy 0.114 0.492 0.281
Rh1 Rh 0.430 0.357 0.783
Rh2 Rh 0.783 0.310 0.124
# Excess energy over the best structure of this formula in the dataset   0.000 eV per atom
# DOS at the Fermi energy   5.70 states/eV/f.u.

# DyHo2Rh9 PBE-GGA relaxed
data_DyHo2Rh9
_chemical_formula_sum 'Dy1 Ho2 Rh9'
_cell_length_a 5.248
_cell_length_b 5.248
_cell_length_c 9.275
_cell_angle_alpha 73.57
_cell_angle_beta 73.57
_cell_angle_gamma 60.00
_symmetry_space_group_name_H-M 'P 1'
_symmetry_Int_Tables_number 1
loop_
_symmetry_equiv_pos_as_xyz
'x,y,z'
loop_
_atom_site_label
_atom_site_type_symbol
_atom_site_fract_x
_atom_site_fract_y
_atom_site_fract_z
Dy1 Dy 0.000 0.000 0.000
Rh1 Rh 0.082 0.583 0.752
Rh2 Rh 0.500 0.500 0.500
Rh3 Rh 0.583 0.583 0.752
Rh4 Rh 0.583 0.082 0.752
Rh5 Rh 0.918 0.417 0.248
Rh6 Rh 0.333 0.333 0.001
Rh7 Rh 0.417 0.417 0.248
Rh8 Rh 0.417 0.918 0.248
Rh9 Rh 0.667 0.667 0.999
Ho1 Ho 0.139 0.139 0.583
Ho2 Ho 0.861 0.861 0.417
# DOS at the Fermi energy   12.70 states/eV/f.u.

# DyHo2Rh PBE-GGA relaxed
data_DyHo2Rh
_chemical_formula_sum 'Dy1 Ho2 Rh1'
_cell_length_a 3.600
_cell_length_b 3.600
_cell_length_c 10.691
_cell_angle_alpha 80.31
_cell_angle_beta 80.31
_cell_angle_gamma 60.00
_symmetry_space_group_name_H-M 'P 1'
_symmetry_Int_Tables_number 1
loop_
_symmetry_equiv_pos_as_xyz
'x,y,z'
loop_
_atom_site_label
_atom_site_type_symbol
_atom_site_fract_x
_atom_site_fract_y
_atom_site_fract_z
Rh1 Rh 0.500 0.500 0.500
Ho1 Ho 0.890 0.890 0.331
Ho2 Ho 0.110 0.110 0.669
Dy1 Dy 0.000 0.000 0.000
# Excess energy over the best structure of this formula in the dataset   0.387 eV per atom
# DOS at the Fermi energy   5.45 states/eV/f.u.

# Dy2HoRh2 PBE-GGA relaxed
data_Dy2HoRh2
_chemical_formula_sum 'Dy4 Ho2 Rh4'
_cell_length_a 3.945
_cell_length_b 7.221
_cell_length_c 8.684
_cell_angle_alpha 90.00
_cell_angle_beta 103.13
_cell_angle_gamma 90.00
_symmetry_space_group_name_H-M 'P 1'
_symmetry_Int_Tables_number 1
loop_
_symmetry_equiv_pos_as_xyz
'x,y,z'
loop_
_atom_site_label
_atom_site_type_symbol
_atom_site_fract_x
_atom_site_fract_y
_atom_site_fract_z
Rh1 Rh 0.193 0.123 0.387
Rh2 Rh 0.554 0.549 0.108
Rh3 Rh 0.807 0.623 0.613
Rh4 Rh 0.446 0.049 0.892
Ho1 Ho 0.379 0.415 0.759
Ho2 Ho 0.621 0.915 0.241
Dy1 Dy 0.810 0.031 0.620
Dy2 Dy 0.190 0.531 0.380
Dy3 Dy 0.969 0.748 0.938
Dy4 Dy 0.031 0.248 0.062
# Excess energy over the best structure of this formula in the dataset   0.000 eV per atom
# DOS at the Fermi energy   2.50 states/eV/f.u.

# DyHo2Rh PBE-GGA relaxed
data_DyHo2Rh
_chemical_formula_sum 'Dy4 Ho8 Rh4'
_cell_length_a 6.290
_cell_length_b 7.144
_cell_length_c 9.415
_cell_angle_alpha 90.00
_cell_angle_beta 90.00
_cell_angle_gamma 90.00
_symmetry_space_group_name_H-M 'P 1'
_symmetry_Int_Tables_number 1
loop_
_symmetry_equiv_pos_as_xyz
'x,y,z'
loop_
_atom_site_label
_atom_site_type_symbol
_atom_site_fract_x
_atom_site_fract_y
_atom_site_fract_z
Rh1 Rh 0.056 0.383 0.250
Rh2 Rh 0.944 0.617 0.750
Rh3 Rh 0.556 0.117 0.750
Rh4 Rh 0.444 0.883 0.250
Ho1 Ho 0.672 0.823 0.937
Ho2 Ho 0.828 0.323 0.937
Ho3 Ho 0.828 0.323 0.563
Ho4 Ho 0.172 0.677 0.437
Ho5 Ho 0.172 0.677 0.063
Ho6 Ho 0.672 0.823 0.563
Ho7 Ho 0.328 0.177 0.063
Ho8 Ho 0.328 0.177 0.437
Dy1 Dy 0.136 0.965 0.750
Dy2 Dy 0.364 0.465 0.750
Dy3 Dy 0.864 0.035 0.250
Dy4 Dy 0.636 0.535 0.250
# Excess energy over the best structure of this formula in the dataset   0.000 eV per atom
# DOS at the Fermi energy   4.61 states/eV/f.u.

# DyHo3Rh2 PBE-GGA relaxed
data_DyHo3Rh2
_chemical_formula_sum 'Dy2 Ho6 Rh4'
_cell_length_a 4.670
_cell_length_b 7.148
_cell_length_c 8.666
_cell_angle_alpha 90.00
_cell_angle_beta 90.00
_cell_angle_gamma 90.00
_symmetry_space_group_name_H-M 'P 1'
_symmetry_Int_Tables_number 1
loop_
_symmetry_equiv_pos_as_xyz
'x,y,z'
loop_
_atom_site_label
_atom_site_type_symbol
_atom_site_fract_x
_atom_site_fract_y
_atom_site_fract_z
Ho1 Ho 0.000 0.859 0.669
Ho2 Ho 0.500 0.641 0.168
Ho3 Ho 0.000 0.359 0.331
Ho4 Ho 0.000 0.488 0.915
Ho5 Ho 0.000 0.988 0.085
Ho6 Ho 0.500 0.141 0.832
Rh1 Rh 0.500 0.743 0.840
Rh2 Rh 0.000 0.757 0.340
Rh3 Rh 0.000 0.257 0.660
Rh4 Rh 0.500 0.243 0.160
Dy1 Dy 0.500 0.512 0.585
Dy2 Dy 0.500 0.012 0.415
# Excess energy over the best structure of this formula in the dataset   0.000 eV per atom
# DOS at the Fermi energy   5.93 states/eV/f.u.

# Dy4Ho3Rh4 PBE-GGA relaxed
data_Dy4Ho3Rh4
_chemical_formula_sum 'Dy4 Ho3 Rh4'
_cell_length_a 3.665
_cell_length_b 8.926
_cell_length_c 9.302
_cell_angle_alpha 118.67
_cell_angle_beta 101.36
_cell_angle_gamma 90.00
_symmetry_space_group_name_H-M 'P 1'
_symmetry_Int_Tables_number 1
loop_
_symmetry_equiv_pos_as_xyz
'x,y,z'
loop_
_atom_site_label
_atom_site_type_symbol
_atom_site_fract_x
_atom_site_fract_y
_atom_site_fract_z
Ho1 Ho 0.898 0.898 0.796
Ho2 Ho 0.000 0.500 0.000
Ho3 Ho 0.102 0.102 0.204
Dy1 Dy 0.335 0.149 0.671
Dy2 Dy 0.665 0.851 0.329
Dy3 Dy 0.665 0.478 0.329
Dy4 Dy 0.335 0.522 0.671
Rh1 Rh 0.500 0.786 0.000
Rh2 Rh 0.253 0.753 0.506
Rh3 Rh 0.747 0.247 0.494
Rh4 Rh 0.500 0.214 0.000
# DOS at the Fermi energy   7.16 states/eV/f.u.

Number 1: E_form -0.8880 eV per atom. Number 2: E_form -0.3964 eV per atom. Number 3: E_form -0.5747 eV per atom. Number 4: E_form -0.1506 eV per atom. Number 5: E_form -0.6383 eV per atom. Number 6: E_form -0.5379 eV per atom. Number 7: E_form -0.6729 eV per atom. Number 8: E_form -0.6435 eV per atom.